The following is a GGA-PBE calculation of an optimized crystal structure of RbTcNi3, from the Alexandria database.

Unit cell a=4.6769 b=4.6769 c=4.6769 alpha=90.00 beta=90.00 gamma=90.00
Closest atoms and distances in Å follow each position.
Fractional positions:
Rb1 0.0000 0.0000 0.0000  12 Ni 3.31
Tc1 0.5000 0.5000 0.5000  6 Ni 2.34
Ni1 0.0000 0.5000 0.5000  2 Tc 2.34
Ni2 0.5000 0.0000 0.5000  2 Tc 2.34
Ni3 0.5000 0.5000 0.0000  2 Tc 2.34

Total DFT energy (no corrections) ... -4.63 eV per atom
D(E_F) ... 1.433 states/eV/atom
DFT formation energy ... 5.5 eV/f.u.
Offset from the most stable computed form ... 0 meV/atom
ρ ... 5.8 g cm⁻³
Symmetry ... No. 221


The following is a GGA-PBE calculation of an optimized crystal structure of RbTcNi, from the Alexandria database.

Unit cell a=5.0578 b=3.7927 c=10.2627 alpha=90.00 beta=97.66 gamma=90.00
Closest atoms and distances in Å follow each position.
Fractional positions:
Rb1 0.1918 0.2500 0.2945  3 Ni 3.25-3.54
Rb2 0.8082 0.7500 0.7055  3 Ni 3.25-3.54
Tc1 0.3743 0.2500 0.9514  2 Tc 2.42, 4 Ni 2.49-2.55
Tc2 0.6257 0.7500 0.0486  2 Tc 2.42, 4 Ni 2.49-2.55
Ni1 0.1254 0.7500 0.0348  2 Ni 2.34, 4 Tc 2.49-2.55
Ni2 0.8746 0.2500 0.9652  2 Ni 2.34, 4 Tc 2.49-2.55

Total DFT energy (no corrections) ... -5.15 eV per atom
D(E_F) ... 1.250 states/eV/atom
DFT formation energy ... 1.7 eV/f.u.
Offset from the most stable computed form ... 99 meV/atom
ρ ... 4.1 g cm⁻³
Symmetry ... No. 11


The following is a GGA-PBE calculation of an optimized crystal structure of RbTcNi, from the Alexandria database.

Unit cell a=3.7161 b=3.8568 c=12.3108 alpha=81.43 beta=89.84 gamma=89.98
Closest atoms and distances in Å follow each position.
Fractional positions:
Rb1 0.0000 0.0000 0.0000  2 Ni 3.53-3.59, 2 Tc 3.61, 4 Rb 3.72-3.86
Rb2 0.4896 0.6858 0.6301  2 Ni 3.56-3.57, 2 Tc 3.60-3.62, 4 Rb 3.72-3.86
Tc1 0.4979 0.8654 0.2543  2 Tc 2.37, 2 Ni 2.49
Tc2 0.9966 0.8080 0.3756  2 Tc 2.37, 2 Ni 2.49
Ni1 0.4972 0.3038 0.3838  6 Tc 2.49-2.68, 2 Ni 2.50
Ni2 0.9983 0.3697 0.2460  6 Tc 2.49-2.68, 2 Ni 2.50

Total DFT energy (no corrections) ... -5.18 eV per atom
D(E_F) ... 1.120 states/eV/atom
DFT formation energy ... 1.6 eV/f.u.
Offset from the most stable computed form ... 65 meV/atom
ρ ... 4.6 g cm⁻³
Symmetry ... No. 1


The following is a GGA-PBE calculation of an optimized crystal structure of RbTcNi, from the Alexandria database.

Unit cell a=6.4681 b=6.4681 c=6.4681 alpha=142.06 beta=127.72 gamma=66.39
Closest atoms and distances in Å follow each position.
Fractional positions:
Rb1 0.3837 0.1337 0.2500  2 Ni 2.92, 2 Tc 3.11
Rb2 0.6163 0.8663 0.7500  2 Ni 2.92, 2 Tc 3.11
Tc1 0.1720 0.4220 0.7500  3 Ni 2.45-2.46
Tc2 0.8280 0.5780 0.2500  3 Ni 2.45-2.46
Ni1 0.0554 0.8054 0.2500  2 Ni 2.42, 3 Tc 2.45-2.46
Ni2 0.9446 0.1946 0.7500  2 Ni 2.42, 3 Tc 2.45-2.46

Total DFT energy (no corrections) ... -4.51 eV per atom
D(E_F) ... 1.049 states/eV/atom
DFT formation energy ... 3.6 eV/f.u.
Offset from the most stable computed form ... 741 meV/atom
ρ ... 6.2 g cm⁻³
Symmetry ... No. 74


The following is a GGA-PBE calculation of an optimized crystal structure of Rb2Tc2Ni, from the Alexandria database.

Unit cell a=8.4544 b=8.4544 c=8.4544 alpha=152.36 beta=152.36 gamma=39.49
Closest atoms and distances in Å follow each position.
Fractional positions:
Rb1 0.2500 0.7500 0.5000  4 Rb 2.86
Rb2 0.7500 0.2500 0.5000  4 Rb 2.86
Tc1 0.0642 0.0642 0.0000  1 Tc 2.04
Tc2 0.9358 0.9358 0.0000  1 Tc 2.04
Ni1 0.5000 0.5000 0.0000  8 Tc 3.03

Total DFT energy (no corrections) ... -3.74 eV per atom
D(E_F) ... 1.297 states/eV/atom
DFT formation energy ... 9.7 eV/f.u.
Offset from the most stable computed form ... 344 meV/atom
ρ ... 5.4 g cm⁻³
Symmetry ... No. 139


The following is a GGA-PBE calculation of an optimized crystal structure of RbTcNi, from the Alexandria database.

Unit cell a=3.8259 b=4.5539 c=11.8327 alpha=79.51 beta=88.44 gamma=65.20
Closest atoms and distances in Å follow each position.
Fractional positions:
Rb1 0.0000 0.0000 0.0000  3 Ni 3.35-3.39
Rb2 0.4167 0.2653 0.3997  4 Tc 3.54-3.93, 2 Rb 3.83, 2 Ni 3.89
Tc1 0.3580 0.3281 0.7270  2 Tc 2.37-2.38, 4 Ni 2.52-2.57
Tc2 0.7481 0.5649 0.6244  2 Ni 2.36-2.50, 2 Tc 2.37-2.38
Ni1 0.0488 0.9530 0.6854  2 Ni 2.48, 6 Tc 2.50-2.68
Ni2 0.6561 0.7176 0.8069  2 Tc 2.36-2.52, 2 Ni 2.48

Total DFT energy (no corrections) ... -5.14 eV per atom
D(E_F) ... 0.999 states/eV/atom
DFT formation energy ... 1.7 eV/f.u.
Offset from the most stable computed form ... 103 meV/atom
ρ ... 4.4 g cm⁻³
Symmetry ... No. 1


The following is a GGA-PBE calculation of an optimized crystal structure of RbTcNi, from the Alexandria database.

Unit cell a=5.0098 b=5.0098 c=6.1390 alpha=90.00 beta=90.00 gamma=120.00
Closest atoms and distances in Å follow each position.
Fractional positions:
Rb1 0.0000 0.0000 0.0000  2 Rb 3.07, 6 Tc 3.16-3.41, 6 Ni 3.16-3.40
Rb2 0.0000 0.0000 0.5000  2 Rb 3.07, 6 Tc 3.16-3.41, 6 Ni 3.16-3.40
Tc1 0.3333 0.6667 0.2940  1 Ni 2.54
Tc2 0.6667 0.3333 0.7940  1 Ni 2.54
Ni1 0.3333 0.6667 0.7086  1 Tc 2.54
Ni2 0.6667 0.3333 0.2086  1 Tc 2.54

Total DFT energy (no corrections) ... -4.04 eV per atom
D(E_F) ... 0.928 states/eV/atom
DFT formation energy ... 5.0 eV/f.u.
Offset from the most stable computed form ... 1207 meV/atom
ρ ... 6.0 g cm⁻³
Symmetry ... No. 186


The following is a GGA-PBE calculation of an optimized crystal structure of RbTcNi, from the Alexandria database.

Unit cell a=4.7165 b=4.7165 c=4.7165 alpha=60.00 beta=60.00 gamma=60.00
Closest atoms and distances in Å follow each position.
Fractional positions:
Rb1 0.0000 0.0000 0.0000  4 Ni 2.89
Tc1 0.5000 0.5000 0.5000  4 Ni 2.89
Ni1 0.7500 0.7500 0.7500  4 Tc 2.89, 4 Rb 2.89

Total DFT energy (no corrections) ... -3.88 eV per atom
D(E_F) ... 0.666 states/eV/atom
DFT formation energy ... 5.5 eV/f.u.
Offset from the most stable computed form ... 1368 meV/atom
ρ ... 5.4 g cm⁻³
Symmetry ... No. 216